This record from Alexandria via LeMat-Bulk describes a geometry-optimized Tb2ScAu structure. The functional is PBE-GGA.

As for the density of states at the Fermi level: 5.2 states/eV/cell. The total energy comes out at -20.359 eV/cell.

The space group is P4/mmm (No. 123) and the conventional cell measures 3.666, 3.666 and 7.693 Å, with angles of 90.00, 90.00 and 90.00 degrees. The distinct sites, in fractional coordinates, are Tb at (0.000, 0.000, 0.226), Sc at (0.500, 0.500, 0.500) and Au at (0.500, 0.500, 0.000).

This record from Alexandria via LeMat-Bulk describes a geometry-optimized TbSc3Au2 structure. The functional is PBE-GGA.

As for the density of states at the Fermi level: 11.9 states/eV/cell. The total energy comes out at -68.028 eV/cell.

The space group is Pmc2_1 (No. 26) and the conventional cell measures 4.722, 8.494 and 6.821 Å, with angles of 90.00, 90.00 and 90.00 degrees. The distinct sites, in fractional coordinates, are Tb at (0.000, 0.069, 0.000), Sc at (0.000, 0.332, 0.634), Sc at (0.500, 0.180, 0.333), Sc at (0.500, 0.434, 0.966), Au at (0.000, 0.355, 0.235) and Au at (0.500, 0.155, 0.734).

This record from Alexandria via LeMat-Bulk describes a geometry-optimized Tb2ScAu2 structure. The functional is PBE-GGA.

As for the density of states at the Fermi level: 13.9 states/eV/cell. The total energy comes out at -51.065 eV/cell.

The space group is P4/mbm (No. 127) and the conventional cell measures 8.077, 8.077 and 3.742 Å, with angles of 90.00, 90.00 and 90.00 degrees. The distinct sites, in fractional coordinates, are Tb at (0.166, 0.334, 0.000), Sc at (0.000, 0.000, 0.500) and Au at (0.134, 0.634, 0.500).

This record from Alexandria via LeMat-Bulk describes a geometry-optimized Tb2ScAu3 structure. The functional is PBE-GGA.

As for the density of states at the Fermi level: 2.4 states/eV/cell. The total energy comes out at -30.391 eV/cell.

The space group is P4/mmm (No. 123) and the conventional cell measures 3.520, 3.520 and 10.778 Å, with angles of 90.00, 90.00 and 90.00 degrees. The distinct sites, in fractional coordinates, are Tb at (0.000, 0.000, 0.173), Sc at (0.000, 0.000, 0.500), Au at (0.500, 0.500, 0.000) and Au at (0.500, 0.500, 0.351).

- Which formula does entry 2 have?
  TbSc3Au2